Computed, not measured: a relaxed structure of Sn6BrF12 at the PBE level of DFT.

Geometry as POSCAR:
```
Sn6BrF12
1.0
7.2664 0.0028 -0.8831
-0.9973 7.1976 -0.8831
0.0024 0.0028 7.3198
F Sn Br
12 6 1
Cartesian
3.5718 6.1421 3.1630
2.4553 2.8200 0.3853
2.6997 1.0611 2.3906
5.5921 4.3832 3.1630
1.0037 5.4579 2.7768
3.8162 4.3832 5.1683
2.8778 5.4579 0.6604
3.3937 1.7453 4.8932
5.2679 1.7453 2.7768
0.6795 2.8200 2.3906
5.0099 3.6016 0.6604
1.2616 3.6016 4.8932
2.1152 5.6346 4.6843
1.3658 1.5687 4.0206
5.2898 2.8705 4.6843
4.1563 1.5687 0.8693
0.9817 4.3327 0.8693
4.9058 5.6346 1.5330
0.0000 0.0000 0.0000
```

Computed properties:
crystal system	trigonal
mass density	4.42	g cm⁻³
E_form (uncorrected)	-2.057	eV/atom
volume	382.9	Å³/cell
VASP energy	-4.591	eV/atom
DOS at the Fermi energy	11.1	states/eV/f.u.
M_tot	0.49	μB/f.u.